No. 1
# AlFe (PBE, relaxed)
# ρ: 3.80 g/cm3
# Energy of formation: 0.646 eV per atom
data_AlFe
_chemical_formula_sum 'Al2 Fe2'
_symmetry_space_group_name_H-M 'P 1'
_symmetry_Int_Tables_number 1
_cell_length_a 4.210
_cell_length_b 4.210
_cell_length_c 4.715
_cell_angle_alpha 90.00
_cell_angle_beta 90.00
_cell_angle_gamma 120.00
loop_
_symmetry_equiv_pos_as_xyz
'x,y,z'
loop_
_atom_site_label
_atom_site_fract_x
_atom_site_fract_y
_atom_site_fract_z
Al1 0.333 0.667 0.250
Al2 0.667 0.333 0.750
Fe1 0.333 0.667 0.750
Fe2 0.667 0.333 0.250

No. 2
# Al3Fe4 (PBE, relaxed)
# ρ: 5.70 g/cm3
# Distance to the lowest polymorph of the same formula: 0.000 eV/atom
# Energy of formation: -0.222 eV per atom
data_Al3Fe4
_chemical_formula_sum 'Al3 Fe4'
_symmetry_space_group_name_H-M 'P 1'
_symmetry_Int_Tables_number 1
_cell_length_a 9.939
_cell_length_b 9.939
_cell_length_c 9.939
_cell_angle_alpha 162.51
_cell_angle_beta 162.51
_cell_angle_gamma 24.83
loop_
_symmetry_equiv_pos_as_xyz
'x,y,z'
loop_
_atom_site_label
_atom_site_fract_x
_atom_site_fract_y
_atom_site_fract_z
Al1 0.000 0.000 0.000
Al2 0.294 0.294 0.000
Al3 0.706 0.706 0.000
Fe1 0.138 0.138 0.000
Fe2 0.429 0.429 0.000
Fe3 0.571 0.571 0.000
Fe4 0.862 0.862 0.000

No. 3
# AlFe (PBE, relaxed)
# ρ: 5.06 g/cm3
# Energy of formation: -0.187 eV per atom
data_AlFe
_chemical_formula_sum 'Al4 Fe4'
_symmetry_space_group_name_H-M 'P 1'
_symmetry_Int_Tables_number 1
_cell_length_a 5.526
_cell_length_b 5.526
_cell_length_c 5.526
_cell_angle_alpha 98.10
_cell_angle_beta 98.10
_cell_angle_gamma 135.92
loop_
_symmetry_equiv_pos_as_xyz
'x,y,z'
loop_
_atom_site_label
_atom_site_fract_x
_atom_site_fract_y
_atom_site_fract_z
Al1 0.000 0.282 0.282
Al2 0.000 0.718 0.718
Al3 0.282 0.000 0.282
Al4 0.718 0.000 0.718
Fe1 0.335 0.335 0.669
Fe2 0.335 0.665 0.000
Fe3 0.665 0.335 0.000
Fe4 0.665 0.665 0.331

No. 4
# Al3Fe4 (PBE, relaxed)
# ρ: 5.53 g/cm3
# Distance to the lowest polymorph of the same formula: 0.248 eV/atom
# Energy of formation: 0.026 eV per atom
data_Al3Fe4
_chemical_formula_sum 'Al3 Fe4'
_symmetry_space_group_name_H-M 'P 1'
_symmetry_Int_Tables_number 1
_cell_length_a 6.925
_cell_length_b 6.925
_cell_length_c 6.925
_cell_angle_alpha 33.77
_cell_angle_beta 33.77
_cell_angle_gamma 33.77
loop_
_symmetry_equiv_pos_as_xyz
'x,y,z'
loop_
_atom_site_label
_atom_site_fract_x
_atom_site_fract_y
_atom_site_fract_z
Al1 0.000 0.000 0.000
Al2 0.255 0.255 0.255
Al3 0.745 0.745 0.745
Fe1 0.131 0.131 0.131
Fe2 0.382 0.382 0.382
Fe3 0.618 0.618 0.618
Fe4 0.869 0.869 0.869

No. 5
# Al5Fe (PBE, relaxed)
# ρ: 3.66 g/cm3
# Energy of formation: -0.112 eV per atom
data_Al5Fe
_chemical_formula_sum 'Al5 Fe1'
_symmetry_space_group_name_H-M 'P 1'
_symmetry_Int_Tables_number 1
_cell_length_a 4.735
_cell_length_b 4.735
_cell_length_c 4.455
_cell_angle_alpha 90.00
_cell_angle_beta 90.00
_cell_angle_gamma 120.00
loop_
_symmetry_equiv_pos_as_xyz
'x,y,z'
loop_
_atom_site_label
_atom_site_fract_x
_atom_site_fract_y
_atom_site_fract_z
Al1 0.000 0.684 0.000
Al2 0.316 0.316 0.000
Al3 0.333 0.667 0.500
Al4 0.667 0.333 0.500
Al5 0.684 0.000 0.000
Fe1 0.000 0.000 0.500

No. 6
# AlFe (PBE, relaxed)
# ρ: 5.32 g/cm3
# Energy of formation: -0.208 eV per atom
data_AlFe
_chemical_formula_sum 'Al3 Fe3'
_symmetry_space_group_name_H-M 'P 1'
_symmetry_Int_Tables_number 1
_cell_length_a 4.851
_cell_length_b 4.851
_cell_length_c 5.638
_cell_angle_alpha 107.80
_cell_angle_beta 107.80
_cell_angle_gamma 38.17
loop_
_symmetry_equiv_pos_as_xyz
'x,y,z'
loop_
_atom_site_label
_atom_site_fract_x
_atom_site_fract_y
_atom_site_fract_z
Al1 0.000 0.000 0.000
Al2 0.329 0.329 0.200
Al3 0.671 0.671 0.800
Fe1 0.000 0.000 0.500
Fe2 0.341 0.341 0.667
Fe3 0.659 0.659 0.333